BaMn4Cl after structural relaxation. Source: Alexandria, functional PBE.

Cell lengths 5.649, 5.649, 5.649 Å; angles 60.00, 60.00, 60.00 degrees
Sites, in units of the cell vectors:
Ba (0.000, 0.000, 0.000)
Mn (0.373, 0.373, 0.373)
Mn (0.373, 0.373, 0.881)
Mn (0.373, 0.881, 0.373)
Mn (0.881, 0.373, 0.373)
Cl (0.750, 0.750, 0.750)

## Properties
- Space-group type: F-43m, No. 216
- DFT total energy: -36.84 eV for the cell shown
- ρ: 5.115 g cm⁻³
- E_form (uncorrected): 58 kJ per mole of atoms
- Size of the total moment: 15.00 μB per formula unit